The following is a GGA-PBE calculation of a geometry-optimized KMnCl3 structure, from Alexandria.

a b c (Å): 5.422 5.422 11.680
angles (deg): 76.58 76.58 90.00
Element x y z (fractional)
1 K 0.000 0.000 0.000
2 K 0.250 0.750 0.500
3 Mn 0.686 0.186 0.628
4 Mn 0.814 0.314 0.372
5 Cl 0.629 0.878 0.244
6 Cl 0.122 0.371 0.756
7 Cl 0.122 0.873 0.756
8 Cl 0.127 0.878 0.244
9 Cl 0.299 0.299 0.402
10 Cl 0.701 0.701 0.598

Computed properties:
The calculation puts the formation energy (no corrections) at -3.24 eV/f.u.

=====

The following is a GGA-PBE calculation of a geometry-optimized Cd2PPd4Pt2 structure, from Alexandria.

a b c (Å): 5.964 5.964 5.964
angles (deg): 91.24 119.28 119.28
Element x y z (fractional)
1 Cd 0.500 0.750 0.250
2 Cd 0.500 0.250 0.750
3 P 0.000 0.000 0.000
4 Pd 0.000 0.736 0.264
5 Pd 0.472 0.736 0.736
6 Pd 0.000 0.264 0.736
7 Pd 0.528 0.264 0.264
8 Pt 0.000 0.733 0.733
9 Pt 0.000 0.267 0.267

Computed properties:
The value obtained for the uncorrected energy is -4.86 eV/atom.

=====

The following is a GGA-PBE calculation of a geometry-optimized Tm3P2Rh5 structure, from Alexandria.

a b c (Å): 3.599 9.711 9.711
angles (deg): 90.00 90.00 90.00
Element x y z (fractional)
1 Tm 0.000 0.328 0.828
2 Tm 0.000 0.672 0.172
3 Tm 0.000 0.172 0.328
4 Tm 0.000 0.828 0.672
5 Tm 0.000 0.000 0.000
6 Tm 0.000 0.500 0.500
7 P 0.000 0.126 0.626
8 P 0.000 0.874 0.374
9 P 0.000 0.374 0.126
10 P 0.000 0.626 0.874
11 Rh 0.500 0.222 0.070
12 Rh 0.500 0.778 0.930
13 Rh 0.500 0.930 0.222
14 Rh 0.500 0.070 0.778
15 Rh 0.500 0.278 0.570
16 Rh 0.500 0.722 0.430
17 Rh 0.500 0.570 0.722
18 Rh 0.500 0.430 0.278
19 Rh 0.500 0.000 0.500
20 Rh 0.500 0.500 0.000

Computed properties:
The value obtained for the uncorrected energy is -7.10 eV/atom.

=====

The following is a GGA-PBE calculation of a geometry-optimized Ta2CuReRu structure, from Alexandria.

a b c (Å): 4.817 4.688 4.817
angles (deg): 90.00 90.00 90.00
Element x y z (fractional)
1 Re 0.000 0.000 0.000
2 Ru 0.000 0.500 0.000
3 Cu 0.500 0.500 0.500
4 Ta 0.000 0.000 0.500
5 Ta 0.500 0.000 0.000

Computed properties:
The value obtained for the uncorrected energy is -8.35 eV/atom.

=====

The following is a GGA-PBE calculation of a geometry-optimized NaHg2CI structure, from Alexandria.

a b c (Å): 6.038 4.750 6.038
angles (deg): 90.00 90.00 90.00
Element x y z (fractional)
1 I 0.500 0.500 0.500
2 Na 0.000 0.000 0.000
3 C 0.000 0.500 0.000
4 Hg 0.000 0.000 0.500
5 Hg 0.500 0.000 0.000

Computed properties:
The calculation puts the formation energy (no corrections) at 5.99 eV/f.u.

=====

The following is a GGA-PBE calculation of a geometry-optimized Ho3Ga4Co2 structure, from Alexandria.

a b c (Å): 5.703 5.703 15.580
angles (deg): 76.52 76.52 43.21
Element x y z (fractional)
1 Ho 0.713 0.713 0.265
2 Ho 0.380 0.380 0.925
3 Ho 0.043 0.043 0.610
4 Ho 0.618 0.618 0.062
5 Ho 0.288 0.288 0.732
6 Ho 0.950 0.950 0.400
7 Ga 0.606 0.606 0.467
8 Ga 0.277 0.277 0.127
9 Ga 0.095 0.095 0.913
10 Ga 0.764 0.764 0.588
11 Ga 0.432 0.432 0.253
12 Ga 0.574 0.574 0.753
13 Ga 0.246 0.246 0.419
14 Ga 0.917 0.917 0.077
15 Co 0.725 0.725 0.863
16 Co 0.377 0.377 0.540
17 Co 0.047 0.047 0.205
18 Co 0.947 0.947 0.801

Computed properties:
The calculation puts the excess energy over the best structure of this formula in the dataset at 11 meV per atom.

=====

no.,spin magnetization (μB/f.u.)
1,4.65
2,0.00
3,0.00
4,0.00
5,2.12
6,0.54